# 1
First-principles (GGA-PBEsol) data for CoRuRh2 after structural relaxation, as listed in Alexandria via LeMat-Bulk.

Lattice parameters (Å, degrees): 2.637 3.683 5.220 90.00 90.00 90.00
Fractional coordinates of all 4 atoms:
1 Co 0.000 0.000 0.000
2 Ru 0.000 0.000 0.500
3 Rh 0.500 0.500 0.245
4 Rh 0.500 0.500 0.755

Values from the calculation:
**E above lowest polymorph**: 0 meV/atom
**DFT formation energy**: 65 meV per atom
**Symmetry**: Pmmm (47)

---

# 2
First-principles (GGA-PBEsol) data for CoRuRh2 after structural relaxation, as listed in Alexandria via LeMat-Bulk.

Lattice parameters (Å, degrees): 4.529 4.529 4.527 99.95 99.95 33.77
Fractional coordinates of all 4 atoms:
1 Co 0.000 0.000 0.000
2 Ru 0.746 0.746 0.249
3 Rh 0.253 0.253 0.762
4 Rh 0.497 0.497 0.491

Values from the calculation:
**E above lowest polymorph**: 23 meV/atom
**DFT formation energy**: 88 meV per atom
**Symmetry**: Cm (8)

---

# 3
First-principles (GGA-PBEsol) data for CoRuRh2 after structural relaxation, as listed in Alexandria via LeMat-Bulk.

Lattice parameters (Å, degrees): 4.204 4.204 4.204 60.00 60.00 60.00
Fractional coordinates of all 4 atoms:
1 Co 0.000 0.000 0.000
2 Ru 0.500 0.500 0.500
3 Rh 0.250 0.250 0.250
4 Rh 0.750 0.750 0.750

Values from the calculation:
**E above lowest polymorph**: 375 meV/atom
**DFT formation energy**: 439 meV per atom
**Symmetry**: Fm-3m (225)

---

# 4
First-principles (GGA-PBEsol) data for CoRhS4 after structural relaxation, as listed in Alexandria via LeMat-Bulk.

Lattice parameters (Å, degrees): 5.537 5.535 5.531 90.00 90.10 90.00
Fractional coordinates of all 12 atoms:
1 Co 0.000 0.000 0.000
2 Co 0.000 0.500 0.500
3 Rh 0.500 0.000 0.500
4 Rh 0.500 0.500 0.000
5 S 0.106 0.118 0.383
6 S 0.106 0.382 0.883
7 S 0.377 0.610 0.389
8 S 0.377 0.890 0.889
9 S 0.623 0.110 0.111
10 S 0.623 0.390 0.611
11 S 0.894 0.618 0.117
12 S 0.894 0.882 0.617

Values from the calculation:
**Symmetry**: P2_1/c (14)
**Raw formation energy**: -0.507 eV per atom

---

# 5
First-principles (GGA-PBEsol) data for Co2RhS4 after structural relaxation, as listed in Alexandria via LeMat-Bulk.

Lattice parameters (Å, degrees): 6.600 6.600 6.600 120.24 119.81 89.96
Fractional coordinates of all 14 atoms:
1 Co 0.000 0.000 0.500
2 Co 0.000 0.500 0.000
3 Co 0.376 0.126 0.250
4 Co 0.624 0.874 0.750
5 Rh 0.000 0.500 0.500
6 Rh 0.500 0.500 0.000
7 S 0.234 0.249 0.984
8 S 0.235 0.751 0.484
9 S 0.240 0.242 0.502
10 S 0.240 0.738 0.998
11 S 0.760 0.262 0.002
12 S 0.760 0.758 0.498
13 S 0.765 0.249 0.516
14 S 0.766 0.751 0.016

Values from the calculation:
**Symmetry**: Imma (74)
**Raw formation energy**: -0.534 eV per atom

---

# 6
First-principles (GGA-PBEsol) data for CoSbRh2 after structural relaxation, as listed in Alexandria via LeMat-Bulk.

Lattice parameters (Å, degrees): 4.585 4.585 4.585 129.15 129.15 74.77
Fractional coordinates of all 4 atoms:
1 Co 0.000 0.000 0.000
2 Sb 0.500 0.500 0.000
3 Rh 0.250 0.750 0.500
4 Rh 0.750 0.250 0.500

Values from the calculation:
**Symmetry**: I4/mmm (139)
**Raw formation energy**: -0.192 eV per atom

---

# 7
First-principles (GGA-PBEsol) data for CoSbRh2 after structural relaxation, as listed in Alexandria via LeMat-Bulk.

Lattice parameters (Å, degrees): 4.325 4.325 4.325 60.00 60.00 60.00
Fractional coordinates of all 4 atoms:
1 Co 0.000 0.000 0.000
2 Sb 0.750 0.750 0.750
3 Rh 0.250 0.250 0.250
4 Rh 0.500 0.500 0.500

Values from the calculation:
**Symmetry**: F-43m (216)
**Raw formation energy**: 0.031 eV per atom

---

# 8
First-principles (GGA-PBEsol) data for CoSbRh2 after structural relaxation, as listed in Alexandria via LeMat-Bulk.

Lattice parameters (Å, degrees): 4.496 4.496 2.931 90.00 90.00 104.43
Fractional coordinates of all 4 atoms:
1 Co 0.000 0.000 0.000
2 Sb 0.500 0.500 0.000
3 Rh 0.000 0.500 0.500
4 Rh 0.500 0.000 0.500

Values from the calculation:
**Symmetry**: Cmmm (65)
**Raw formation energy**: -0.009 eV per atom

---

# 9
First-principles (GGA-PBEsol) data for CoSbRh2 after structural relaxation, as listed in Alexandria via LeMat-Bulk.

Lattice parameters (Å, degrees): 2.909 3.674 5.435 90.00 90.00 90.00
Fractional coordinates of all 4 atoms:
1 Co 0.000 0.000 0.000
2 Sb 0.500 0.500 0.716
3 Rh 0.000 0.000 0.476
4 Rh 0.500 0.500 0.192

Values from the calculation:
**Symmetry**: Pmm2 (25)
**Raw formation energy**: 0.044 eV per atom

---

# 10
First-principles (GGA-PBEsol) data for CoSbRh after structural relaxation, as listed in Alexandria via LeMat-Bulk.

Lattice parameters (Å, degrees): 4.602 4.602 4.602 136.90 136.90 62.59
Fractional coordinates of all 3 atoms:
1 Co 0.000 0.000 0.000
2 Sb 0.670 0.670 0.000
3 Rh 0.336 0.336 0.000

Values from the calculation:
**Symmetry**: I4mm (107)
**Raw formation energy**: 0.067 eV per atom

---

# 11
First-principles (GGA-PBEsol) data for ScCoRh after structural relaxation, as listed in Alexandria via LeMat-Bulk.

Lattice parameters (Å, degrees): 2.869 2.869 6.125 90.00 90.00 120.00
Fractional coordinates of all 3 atoms:
1 Sc 0.000 0.000 0.000
2 Co 0.667 0.333 0.670
3 Rh 0.333 0.667 0.345

Values from the calculation:
**E above lowest polymorph**: 317 meV/atom
**DFT formation energy**: 57 meV per atom
**Symmetry**: P3m1 (156)

---

# 12
First-principles (GGA-PBEsol) data for ScCoRh after structural relaxation, as listed in Alexandria via LeMat-Bulk.

Lattice parameters (Å, degrees): 4.999 4.999 4.999 143.80 143.80 52.13
Fractional coordinates of all 3 atoms:
1 Sc 0.000 0.000 0.000
2 Co 0.671 0.671 0.000
3 Rh 0.323 0.323 0.000

Values from the calculation:
**E above lowest polymorph**: 0 meV/atom
**DFT formation energy**: -260 meV per atom
**Symmetry**: I4mm (107)

---

# 13
First-principles (GGA-PBEsol) data for Sc2CoRh after structural relaxation, as listed in Alexandria via LeMat-Bulk.

Lattice parameters (Å, degrees): 5.359 5.359 5.359 145.09 134.49 58.61
Fractional coordinates of all 4 atoms:
1 Sc 0.000 0.000 0.000
2 Sc 0.729 0.229 0.500
3 Co 0.235 0.735 0.500
4 Rh 0.479 0.479 0.000

Values from the calculation:
**DFT formation energy**: -434 meV per atom
**Symmetry**: Imm2 (44)

---

# 14
First-principles (GGA-PBEsol) data for Sc2CoRh after structural relaxation, as listed in Alexandria via LeMat-Bulk.

Lattice parameters (Å, degrees): 4.427 4.427 4.427 60.00 60.00 60.00
Fractional coordinates of all 4 atoms:
1 Sc 0.250 0.250 0.250
2 Sc 0.750 0.750 0.750
3 Co 0.000 0.000 0.000
4 Rh 0.500 0.500 0.500

Values from the calculation:
**DFT formation energy**: -664 meV per atom
**Symmetry**: Fm-3m (225)

---

# 15
First-principles (GGA-PBEsol) data for Sc2CoRh after structural relaxation, as listed in Alexandria via LeMat-Bulk.

Lattice parameters (Å, degrees): 3.421 3.421 5.584 90.00 90.00 90.00
Fractional coordinates of all 4 atoms:
1 Sc 0.000 0.000 0.000
2 Sc 0.500 0.500 0.365
3 Co 0.000 0.000 0.508
4 Rh 0.500 0.500 0.831

Values from the calculation:
**DFT formation energy**: -270 meV per atom
**Symmetry**: P4mm (99)

---

# 16
First-principles (GGA-PBEsol) data for Sc2CoRh after structural relaxation, as listed in Alexandria via LeMat-Bulk.

Lattice parameters (Å, degrees): 4.427 4.427 3.136 90.00 90.00 90.00
Fractional coordinates of all 4 atoms:
1 Sc 0.000 0.500 0.000
2 Sc 0.500 0.000 0.000
3 Co 0.000 0.000 0.500
4 Rh 0.500 0.500 0.500

Values from the calculation:
**DFT formation energy**: -663 meV per atom
**Symmetry**: P4/mmm (123)

---

# 17
First-principles (GGA-PBEsol) data for CoRh2Se4 after structural relaxation, as listed in Alexandria via LeMat-Bulk.

Lattice parameters (Å, degrees): 6.191 6.191 6.287 118.22 118.22 34.23
Fractional coordinates of all 7 atoms:
1 Co 0.000 0.000 0.000
2 Rh 0.266 0.266 0.286
3 Rh 0.734 0.734 0.714
4 Se 0.111 0.111 0.442
5 Se 0.373 0.373 0.026
6 Se 0.627 0.627 0.974
7 Se 0.889 0.889 0.558

Values from the calculation:
**Symmetry**: C2/m (12)
**Raw formation energy**: -0.359 eV per atom

---

# 18
First-principles (GGA-PBEsol) data for Co2Rh2Se after structural relaxation, as listed in Alexandria via LeMat-Bulk.

Lattice parameters (Å, degrees): 6.394 6.394 6.394 148.45 148.45 45.22
Fractional coordinates of all 5 atoms:
1 Co 0.099 0.099 0.000
2 Co 0.901 0.901 0.000
3 Rh 0.250 0.750 0.500
4 Rh 0.750 0.250 0.500
5 Se 0.500 0.500 0.000

Values from the calculation:
**Symmetry**: I4/mmm (139)
**Raw formation energy**: 0.510 eV per atom

---

# 19
First-principles (GGA-PBEsol) data for Co2RhSe after structural relaxation, as listed in Alexandria via LeMat-Bulk.

Lattice parameters (Å, degrees): 2.845 2.845 6.268 90.00 90.00 90.00
Fractional coordinates of all 4 atoms:
1 Co 0.000 0.000 0.000
2 Co 0.500 0.500 0.223
3 Rh 0.000 0.000 0.481
4 Se 0.500 0.500 0.756

Values from the calculation:
**Symmetry**: P4mm (99)
**Raw formation energy**: 0.195 eV per atom

---

# 20
First-principles (GGA-PBEsol) data for Co2RhSe after structural relaxation, as listed in Alexandria via LeMat-Bulk.

Lattice parameters (Å, degrees): 4.298 4.298 2.792 90.00 90.00 108.34
Fractional coordinates of all 4 atoms:
1 Co 0.000 0.500 0.000
2 Co 0.500 0.000 0.000
3 Rh 0.000 0.000 0.500
4 Se 0.500 0.500 0.500

Values from the calculation:
**Symmetry**: Cmmm (65)
**Raw formation energy**: 0.207 eV per atom

---

VASP energy in eV per atom, matching the order above: -8.482; -8.459; -8.107; -6.075; -6.413; -7.335; -7.112; -7.151; -7.099; -6.744; -7.437; -7.754; -7.706; -7.935; -7.541; -7.935; -5.990; -6.611; -6.670; -6.659